[1]
First-principles (GGA-PBE) data for crystalline Al2ZnRe at its relaxed geometry, as listed in Alexandria via LeMat-Bulk.

```
Al2ZnRe
1.0
-3.5059 3.5059 2.6476
3.5059 -3.5059 2.6476
3.5059 3.5059 -2.6476
Al Zn Re
4 2 2
Direct
0.1249 0.6250 0.9999 Al
0.3750 0.3749 0.4999 Al
0.6251 0.1250 0.0001 Al
0.8750 0.8751 0.5001 Al
0.0000 0.0000 0.0000 Zn
0.7500 0.2500 0.5000 Zn
0.2500 0.7500 0.5000 Re
0.5000 0.5000 0.0000 Re
```

Values from the calculation:
SG: I-42d (122)
Energy relative to the elements (eV per atom): 0.48
Density of states at the Fermi level (states/eV/f.u.): 3.489
M_tot (μB per atom): 0.00
E_tot (eV/f.u.): -19.3



[2]
First-principles (GGA-PBE) data for crystalline AlZnRe2 at its relaxed geometry, as listed in Alexandria via LeMat-Bulk.

```
AlZnRe2
1.0
1.5482 -2.2019 0.0000
1.5482 2.2019 0.0000
0.0000 0.0000 8.6126
Al Zn Re
1 1 2
Direct
0.0000 0.0000 0.0000 Al
0.0000 0.0000 0.5000 Zn
0.5000 0.5000 0.2448 Re
0.5000 0.5000 0.7552 Re
```

Values from the calculation:
SG: Cmmm (65)
Energy relative to the elements (eV per atom): 0.12
Density of states at the Fermi level (states/eV/f.u.): 1.958
M_tot (μB per atom): 0.00
E_tot (eV/f.u.): -29.4



[3]
First-principles (GGA-PBE) data for crystalline Al2ZnRe at its relaxed geometry, as listed in Alexandria via LeMat-Bulk.

```
Al2ZnRe
1.0
-1.7975 2.0167 3.9941
1.7975 -2.0167 3.9941
1.7975 2.0167 -3.9941
Al Zn Re
2 1 1
Direct
0.2473 0.2473 0.0000 Al
0.7527 0.7527 0.0000 Al
0.0000 0.5000 0.5000 Zn
0.5000 0.0000 0.5000 Re
```

Values from the calculation:
SG: Immm (71)
Energy relative to the elements (eV per atom): -0.14
Density of states at the Fermi level (states/eV/f.u.): 1.641
M_tot (μB per atom): 0.00
E_tot (eV/f.u.): -21.8



[4]
First-principles (GGA-PBE) data for crystalline Al2ZnRe at its relaxed geometry, as listed in Alexandria via LeMat-Bulk.

```
Al2ZnRe
1.0
3.3694 0.0000 0.0000
0.0000 3.3694 0.0000
0.0000 0.0000 5.2724
Al Zn Re
2 1 1
Direct
0.0000 0.0000 0.0000 Al
0.5000 0.5000 0.2801 Al
0.5000 0.5000 0.7619 Zn
0.0000 0.0000 0.4970 Re
```

Values from the calculation:
SG: P4mm (99)
Energy relative to the elements (eV per atom): -0.04
Density of states at the Fermi level (states/eV/f.u.): 2.931
M_tot (μB per atom): 0.00
E_tot (eV/f.u.): -21.4



[5]
First-principles (GGA-PBE) data for crystalline AlZnRe2 at its relaxed geometry, as listed in Alexandria via LeMat-Bulk.

```
AlZnRe2
1.0
1.4494 -2.3383 0.0000
1.4494 2.3383 0.0000
0.0000 0.0000 8.9684
Al Zn Re
1 1 2
Direct
0.0000 0.0000 0.0000 Al
0.5000 0.5000 0.2549 Zn
0.0000 0.0000 0.5110 Re
0.5000 0.5000 0.7531 Re
```

Values from the calculation:
SG: Cmm2 (35)
Energy relative to the elements (eV per atom): 0.18
Density of states at the Fermi level (states/eV/f.u.): 2.648
M_tot (μB per atom): 0.00
E_tot (eV/f.u.): -29.2



[6]
First-principles (GGA-PBE) data for crystalline AlZnRe2 at its relaxed geometry, as listed in Alexandria via LeMat-Bulk.

```
AlZnRe2
1.0
2.6312 0.0000 0.0000
0.0000 4.0872 0.0000
0.0000 0.0000 5.4724
Al Zn Re
1 1 2
Direct
0.0000 0.0000 0.0000 Al
0.0000 0.0000 0.5000 Zn
0.5000 0.5000 0.2522 Re
0.5000 0.5000 0.7478 Re
```

Values from the calculation:
SG: Pmmm (47)
Energy relative to the elements (eV per atom): 0.24
Density of states at the Fermi level (states/eV/f.u.): 3.482
M_tot (μB per atom): 0.00
E_tot (eV/f.u.): -29.0



[7]
First-principles (GGA-PBE) data for crystalline Al2ZnRe at its relaxed geometry, as listed in Alexandria via LeMat-Bulk.

```
Al2ZnRe
1.0
2.7336 0.0000 0.0000
0.0000 2.7336 0.0000
0.0000 0.0000 8.1755
Al Zn Re
2 1 1
Direct
0.0000 0.0000 0.0000 Al
0.5000 0.5000 0.2637 Al
0.5000 0.5000 0.7476 Zn
0.0000 0.0000 0.5003 Re
```

Values from the calculation:
SG: P4mm (99)
Energy relative to the elements (eV per atom): 0.13
Density of states at the Fermi level (states/eV/f.u.): 1.956
M_tot (μB per atom): 0.00
E_tot (eV/f.u.): -20.7



[8]
First-principles (GGA-PBE) data for crystalline Al2ZnRe at its relaxed geometry, as listed in Alexandria via LeMat-Bulk.

```
Al2ZnRe
1.0
0.0000 3.0900 3.0900
3.0900 0.0000 3.0900
3.0900 3.0900 0.0000
Al Zn Re
2 1 1
Direct
0.0000 0.0000 0.0000 Al
0.2500 0.2500 0.2500 Al
0.5000 0.5000 0.5000 Zn
0.7500 0.7500 0.7500 Re
```

Values from the calculation:
SG: F-43m (216)
Energy relative to the elements (eV per atom): 0.21
Density of states at the Fermi level (states/eV/f.u.): 3.337
M_tot (μB per atom): 0.00
E_tot (eV/f.u.): -20.4



[9]
First-principles (GGA-PBE) data for crystalline AlZnRe2 at its relaxed geometry, as listed in Alexandria via LeMat-Bulk.

```
AlZnRe2
1.0
0.0000 3.0595 3.0595
3.0595 0.0000 3.0595
3.0595 3.0595 0.0000
Al Zn Re
1 1 2
Direct
0.0000 0.0000 0.0000 Al
0.5000 0.5000 0.5000 Zn
0.2500 0.2500 0.2500 Re
0.7500 0.7500 0.7500 Re
```

Values from the calculation:
SG: Fm-3m (225)
Energy relative to the elements (eV per atom): 0.32
Density of states at the Fermi level (states/eV/f.u.): 5.110
M_tot (μB per atom): 0.00
E_tot (eV/f.u.): -28.7



[10]
First-principles (GGA-PBE) data for crystalline AlZnRe2 at its relaxed geometry, as listed in Alexandria via LeMat-Bulk.

```
AlZnRe2
1.0
-1.5668 2.1575 4.2722
1.5668 -2.1575 4.2722
1.5668 2.1575 -4.2722
Al Zn Re
1 1 2
Direct
0.0000 0.0000 0.0000 Al
0.7496 0.2496 0.5000 Zn
0.2482 0.7482 0.5000 Re
0.4936 0.4936 0.0000 Re
```

Values from the calculation:
SG: Imm2 (44)
Energy relative to the elements (eV per atom): 0.11
Density of states at the Fermi level (states/eV/f.u.): 2.719
M_tot (μB per atom): 0.00
E_tot (eV/f.u.): -29.5



[11]
First-principles (GGA-PBE) data for crystalline ZrAl2Re at its relaxed geometry, as listed in Alexandria via LeMat-Bulk.

```
ZrAl2Re
1.0
0.0000 3.1990 3.1990
3.1990 0.0000 3.1990
3.1990 3.1990 0.0000
Zr Al Re
1 2 1
Direct
0.0000 0.0000 0.0000 Zr
0.2500 0.2500 0.2500 Al
0.7500 0.7500 0.7500 Al
0.5000 0.5000 0.5000 Re
```

Values from the calculation:
SG: Fm-3m (225)
Energy relative to the elements (eV per atom): -0.19
Density of states at the Fermi level (states/eV/f.u.): 1.663
M_tot (μB per atom): 0.00
E_tot (eV/f.u.): -29.2



[12]
First-principles (GGA-PBE) data for crystalline ZrAl2Re at its relaxed geometry, as listed in Alexandria via LeMat-Bulk.

```
ZrAl2Re
1.0
-1.7860 2.1866 4.3022
1.7860 -2.1866 4.3022
1.7860 2.1866 -4.3022
Zr Al Re
1 2 1
Direct
0.0000 0.0000 0.0000 Zr
0.2600 0.7600 0.5000 Al
0.5103 0.5103 0.0000 Al
0.7523 0.2523 0.5000 Re
```

Values from the calculation:
SG: Imm2 (44)
Energy relative to the elements (eV per atom): -0.21
Density of states at the Fermi level (states/eV/f.u.): 1.926
M_tot (μB per atom): 0.00
E_tot (eV/f.u.): -29.3



[13]
First-principles (GGA-PBE) data for crystalline Zr2AlRe at its relaxed geometry, as listed in Alexandria via LeMat-Bulk.

```
Zr2AlRe
1.0
3.3907 0.0000 0.0000
0.0000 3.3907 0.0000
0.0000 0.0000 6.4785
Zr Al Re
2 1 1
Direct
0.0000 0.0000 0.0000 Zr
0.5000 0.5000 0.2983 Zr
0.0000 0.0000 0.5604 Al
0.5000 0.5000 0.7500 Re
```

Values from the calculation:
SG: P4mm (99)
Energy relative to the elements (eV per atom): -0.19
Density of states at the Fermi level (states/eV/f.u.): 4.286
M_tot (μB per atom): 0.00
E_tot (eV/f.u.): -34.0



[14]
First-principles (GGA-PBE) data for crystalline ZrAl2Re at its relaxed geometry, as listed in Alexandria via LeMat-Bulk.

```
ZrAl2Re
1.0
1.6566 -2.2933 0.0000
1.6566 2.2933 0.0000
0.0000 0.0000 8.8984
Zr Al Re
1 2 1
Direct
0.0000 0.0000 0.0000 Zr
0.5000 0.5000 0.2728 Al
0.5000 0.5000 0.7272 Al
0.0000 0.0000 0.5000 Re
```

Values from the calculation:
SG: Cmmm (65)
Energy relative to the elements (eV per atom): -0.08
Density of states at the Fermi level (states/eV/f.u.): 2.549
M_tot (μB per atom): 0.00
E_tot (eV/f.u.): -28.8



[15]
First-principles (GGA-PBE) data for crystalline Zr2AlRe at its relaxed geometry, as listed in Alexandria via LeMat-Bulk.

```
Zr2AlRe
1.0
5.3444 -1.6876 0.0000
5.3444 1.6876 0.0000
-2.0346 0.0000 4.2171
Zr Al Re
2 1 1
Direct
0.0000 0.0000 0.0000 Zr
0.2274 0.2274 0.7276 Zr
0.4448 0.4448 0.4446 Al
0.7280 0.7280 0.2293 Re
```

Values from the calculation:
SG: Cm (8)
Energy relative to the elements (eV per atom): -0.23
Density of states at the Fermi level (states/eV/f.u.): 3.472
M_tot (μB per atom): 0.00
E_tot (eV/f.u.): -34.2